# 1
First-principles (PBE) data for a relaxed HfNpCd2O8 crystal, as listed in Alexandria.

Cell lengths 5.1100, 5.1022, 6.6371 Å; angles 90.00, 90.00, 93.75 degrees
With the nearest neighbours (Å) after each atom.
Fractional positions:
Hf (0.0000, 0.0000, 0.5000)  6 O 2.01-2.14
O (0.2873, 0.2862, 0.0000)  1 Np 2.00
Cd (0.5000, 0.5000, 0.2570)  4 O 2.19-2.26
O (0.1701, 0.8288, 0.7595)  1 Np 2.04, 1 Hf 2.14
Cd (0.5000, 0.5000, 0.7430)  4 O 2.19-2.26
Np (0.0000, 0.0000, 0.0000)  6 O 2.00-2.04
O (0.8299, 0.1712, 0.2405)  1 Np 2.04, 1 Hf 2.14
O (0.1701, 0.8288, 0.2405)  1 Np 2.04, 1 Hf 2.14
O (0.7111, 0.7117, 0.5000)  1 Hf 2.01, 2 Cd 2.19
O (0.8299, 0.1712, 0.7595)  1 Np 2.04, 1 Hf 2.14
O (0.7127, 0.7138, 0.0000)  1 Np 2.00
O (0.2889, 0.2883, 0.5000)  1 Hf 2.01, 2 Cd 2.19

***

# 2
First-principles (PBE) data for a relaxed Hf2Cd2O crystal, as listed in Alexandria.

Cell lengths 3.6428, 3.6428, 8.1844 Å; angles 77.14, 77.14, 90.00 degrees
With the nearest neighbours (Å) after each atom.
Fractional positions:
Hf (0.4094, 0.4094, 0.1812)  1 Hf 2.82, 4 O 2.94, 4 Cd 3.07
Hf (0.5906, 0.5906, 0.8188)  1 Hf 2.82, 4 O 2.94, 4 Cd 3.07
Cd (0.2500, 0.7500, 0.5000)  4 Cd 2.58
O (0.0000, 0.0000, 0.0000)  8 Hf 2.94
Cd (0.7500, 0.2500, 0.5000)  4 Cd 2.58

## Properties
**Energy above the lowest structure with this stoichiometry**: 6.75 eV per formula unit

***

# 3
First-principles (PBE) data for a relaxed Hf4Cd2O crystal, as listed in Alexandria.

Cell lengths 4.3129, 4.3129, 8.1090 Å; angles 74.58, 74.58, 90.00 degrees
With the nearest neighbours (Å) after each atom.
Fractional positions:
Hf (0.8362, 0.8362, 0.3275)  1 O 2.46
O (0.0000, 0.0000, 0.0000)  4 Hf 2.16
Hf (0.5000, 0.0000, 0.0000)  2 O 2.16
Cd (0.3584, 0.3584, 0.2832)  9 Hf 2.93-3.07
Cd (0.6416, 0.6416, 0.7168)  9 Hf 2.93-3.07
Hf (0.0000, 0.5000, 0.0000)  2 O 2.16
Hf (0.1638, 0.1638, 0.6725)  1 O 2.46

***

# 4
First-principles (PBE) data for a relaxed Hf2CdO crystal, as listed in Alexandria.

Cell lengths 4.6483, 4.6483, 4.6483 Å; angles 60.00, 60.00, 60.00 degrees
With the nearest neighbours (Å) after each atom.
Fractional positions:
Hf (0.2500, 0.2500, 0.2500)  4 Cd 2.85, 4 O 2.85
O (0.0000, 0.0000, 0.0000)  8 Hf 2.85
Cd (0.5000, 0.5000, 0.5000)  8 Hf 2.85
Hf (0.7500, 0.7500, 0.7500)  4 O 2.85, 4 Cd 2.85

## Properties
**Energy above the lowest structure with this stoichiometry**: 4.38 eV per formula unit

***

# 5
First-principles (PBE) data for a relaxed Hf2Cd2O crystal, as listed in Alexandria.

Cell lengths 5.9536, 5.9536, 5.4024 Å; angles 90.00, 90.00, 90.00 degrees
With the nearest neighbours (Å) after each atom.
Fractional positions:
Hf (0.8264, 0.6736, 0.0000)  2 O 2.20
Hf (0.6736, 0.1736, 0.0000)  2 O 2.20
Cd (0.6628, 0.8372, 0.5000)  1 Cd 2.74, 2 Hf 3.03
Cd (0.3372, 0.1628, 0.5000)  1 Cd 2.74, 2 Hf 3.03
Hf (0.3264, 0.8264, 0.0000)  2 O 2.20
O (0.5000, 0.5000, 0.0000)  4 Hf 2.20
O (0.0000, 0.0000, 0.0000)  4 Hf 2.20
Cd (0.1628, 0.6628, 0.5000)  1 Cd 2.74, 2 Hf 3.03
Cd (0.8372, 0.3372, 0.5000)  1 Cd 2.74, 2 Hf 3.03
Hf (0.1736, 0.3264, 0.0000)  2 O 2.20

## Properties
**Energy above the lowest structure with this stoichiometry**: 0.00 eV per formula unit

***

# 6
First-principles (PBE) data for a relaxed Hf3Cd2O8 crystal, as listed in Alexandria.

Cell lengths 5.5178, 6.4281, 6.2903 Å; angles 120.73, 101.69, 90.00 degrees
With the nearest neighbours (Å) after each atom.
Fractional positions:
Hf (0.0000, 0.7421, 0.0000)  6 O 2.05-2.15
O (0.3687, 0.8882, 0.2225)  2 Hf 2.11-2.12, 1 Cd 2.30
O (0.1265, 0.9051, 0.8102)  3 Hf 2.07-2.15
O (0.3687, 0.3343, 0.2225)  2 Hf 2.11-2.12, 1 Cd 2.30
O (0.6313, 0.6657, 0.7775)  2 Hf 2.11-2.12, 1 Cd 2.30
O (0.6313, 0.1118, 0.7775)  2 Hf 2.11-2.12, 1 Cd 2.30
Hf (0.5000, 0.0000, 0.0000)  6 O 2.07-2.11
O (0.8735, 0.0949, 0.1898)  3 Hf 2.07-2.15
Hf (0.0000, 0.2579, 0.0000)  6 O 2.05-2.15
O (0.9036, 0.6016, 0.2033)  2 Hf 2.05, 1 Cd 2.22
Cd (0.6041, 0.7074, 0.4148)  5 O 2.22-2.41
O (0.0964, 0.3984, 0.7967)  2 Hf 2.05, 1 Cd 2.22
Cd (0.3959, 0.2926, 0.5852)  5 O 2.22-2.41

***

# 7
First-principles (PBE) data for a relaxed Hf2Cd2O crystal, as listed in Alexandria.

Cell lengths 6.1241, 6.1241, 5.3041 Å; angles 90.00, 90.00, 90.00 degrees
With the nearest neighbours (Å) after each atom.
Fractional positions:
Hf (0.6673, 0.8327, 0.5000)  5 Hf 2.90-3.23, 2 Cd 3.07
O (0.0000, 0.0000, 0.0000)  4 Cd 2.32
Cd (0.6549, 0.1549, 0.0000)  2 O 2.32
Cd (0.3451, 0.8451, 0.0000)  2 O 2.32
Hf (0.3327, 0.1673, 0.5000)  5 Hf 2.90-3.23, 2 Cd 3.07
Cd (0.8451, 0.6549, 0.0000)  2 O 2.32
Hf (0.1673, 0.6673, 0.5000)  5 Hf 2.90-3.23, 2 Cd 3.07
O (0.5000, 0.5000, 0.0000)  4 Cd 2.32
Cd (0.1549, 0.3451, 0.0000)  2 O 2.32
Hf (0.8327, 0.3327, 0.5000)  5 Hf 2.90-3.23, 2 Cd 3.07

## Properties
**Energy above the lowest structure with this stoichiometry**: 5.36 eV per formula unit

***

# 8
First-principles (PBE) data for a relaxed Hf2CdO crystal, as listed in Alexandria.

Cell lengths 3.0441, 3.0441, 9.2451 Å; angles 80.52, 80.52, 60.00 degrees
With the nearest neighbours (Å) after each atom.
Fractional positions:
Hf (0.8894, 0.8894, 0.3318)  3 O 2.33
Cd (0.0000, 0.0000, 0.0000)  2 Hf 3.01, 6 Cd 3.04
O (0.5000, 0.5000, 0.5000)  6 Hf 2.33
Hf (0.1106, 0.1106, 0.6682)  3 O 2.33

## Properties
**Energy above the lowest structure with this stoichiometry**: 1.27 eV per formula unit

***

# 9
First-principles (PBE) data for a relaxed Hf2CdO crystal, as listed in Alexandria.

Cell lengths 3.2812, 3.2812, 7.5930 Å; angles 77.52, 77.52, 60.00 degrees
With the nearest neighbours (Å) after each atom.
Fractional positions:
Hf (0.2770, 0.2770, 0.1689)  3 O 2.27
Hf (0.0558, 0.0558, 0.8326)  3 O 2.25
O (0.6675, 0.6675, 0.9976)  6 Hf 2.25-2.27
Cd (0.4997, 0.4997, 0.5010)  6 Hf 3.09, 6 Cd 3.28

## Properties
**Energy above the lowest structure with this stoichiometry**: 0.00 eV per formula unit

***

# 10
First-principles (PBE) data for a relaxed Hf2CdO crystal, as listed in Alexandria.

Cell lengths 5.5084, 5.5084, 6.8917 Å; angles 66.44, 66.44, 90.00 degrees
With the nearest neighbours (Å) after each atom.
Fractional positions:
Cd (0.0000, 0.0000, 0.0000)  4 Hf 2.91
Hf (0.3750, 0.5126, 0.7500)  2 O 2.07
Hf (0.8750, 0.7374, 0.7500)  2 O 2.07
Hf (0.2626, 0.6250, 0.2500)  2 O 2.07
O (0.5000, 0.5000, 0.0000)  4 Hf 2.07
O (0.2500, 0.7500, 0.5000)  4 Hf 2.07
Cd (0.7500, 0.2500, 0.5000)  4 Hf 2.91
Hf (0.4874, 0.1250, 0.2500)  2 O 2.07

## Properties
**Energy above the lowest structure with this stoichiometry**: 1.22 eV per formula unit

***

# 11
First-principles (PBE) data for a relaxed HfCd2O crystal, as listed in Alexandria.

Cell lengths 9.5860, 9.5860, 7.0643 Å; angles 47.28, 47.28, 90.00 degrees
With the nearest neighbours (Å) after each atom.
Fractional positions:
Cd (0.5176, 0.1250, 0.2500)  2 O 2.80, 2 Cd 2.86, 2 Hf 3.14
Cd (0.3750, 0.4824, 0.7500)  2 O 2.80, 2 Cd 2.86, 2 Hf 3.14
O (0.2500, 0.7500, 0.5000)  2 Hf 1.99
Hf (0.7500, 0.2500, 0.5000)  2 O 1.99
Cd (0.2324, 0.6250, 0.2500)  2 O 2.80, 2 Cd 2.86, 2 Hf 3.14
Cd (0.8750, 0.7676, 0.7500)  2 O 2.80, 2 Cd 2.86, 2 Hf 3.14
Hf (0.0000, 0.0000, 0.0000)  2 O 1.99
O (0.5000, 0.5000, 0.0000)  2 Hf 1.99

***

# 12
First-principles (PBE) data for a relaxed Hf2Cd2O crystal, as listed in Alexandria.

Cell lengths 3.7578, 3.7578, 8.3226 Å; angles 76.95, 76.95, 90.00 degrees
With the nearest neighbours (Å) after each atom.
Fractional positions:
Hf (0.2500, 0.7500, 0.5000)  4 Hf 2.66
Hf (0.7500, 0.2500, 0.5000)  4 Hf 2.66
Cd (0.5874, 0.5874, 0.8252)  1 Cd 2.76, 4 O 2.99
O (0.0000, 0.0000, 0.0000)  8 Cd 2.99
Cd (0.4126, 0.4126, 0.1748)  1 Cd 2.76, 4 O 2.99

## Properties
**Energy above the lowest structure with this stoichiometry**: 7.60 eV per formula unit

***

Total moment, record by record: 0.00 0.00 0.00 0.00 0.00 0.00 0.00 0.00 0.00 0.00 0.00 0.00 μB per atom
Calculated density, record by record: 7.388 9.630 11.344 11.350 10.368 7.914 9.980 11.065 11.757 9.345 7.616 8.913 g/cm3
Formation energy from raw total energies, record by record: -2.059 0.408 -0.490 -0.026 -0.942 -2.715 0.129 -0.805 -1.122 -0.816 -0.605 0.577 eV per atom